First-principles (GGA+U) data for crystalline NbV2F at its relaxed geometry, as listed in Alexandria.

Values from the calculation:
For the relative energy among the computed polymorphs, the calculation gives 549 meV/atom. The total energy comes out at -22.9 eV per cell. For the theoretical density, the calculation gives 5.3 g cm⁻³. As for the space-group type: Fm-3m. The density of states at the Fermi level is 5.374 states/eV per cell.

Cell: 4.5719 4.5719 4.5719 Å, 60.00 60.00 60.00°
Atoms (fractional coordinates):
Nb (0.0000, 0.0000, 0.0000)
V (0.2500, 0.2500, 0.2500)
V (0.7500, 0.7500, 0.7500)
F (0.5000, 0.5000, 0.5000)